Entry 1:
TmGa3Cu2 | PBE-GGA | optimized geometry

Calculated values
calculated formation energy = -8.35 kcal/mol of atoms
V = 101 Å³/f.u.
density of states at the Fermi level = 13.1 states/eV/cell
DFT total energy = -143.5 eV for the cell shown

abc: 16.0673 4.0388 9.6131
angles: 90.00 104.14 90.00
Space group C2/m (No. 12)
Symmetry-distinct sites (fractional):
1 Tm 0.0000 0.0000 0.0000 x2
2 Tm 0.1544 0.0000 0.7059 x4
3 Ga 0.0000 0.5000 0.5000 x2
4 Ga 0.0501 0.0000 0.3554 x4
5 Ga 0.1341 0.5000 0.1896 x4
6 Ga 0.1468 0.5000 0.9362 x4
7 Ga 0.2196 0.0000 0.3618 x4
8 Cu 0.0122 0.5000 0.7669 x4
9 Cu 0.1469 0.5000 0.4562 x4
10 Cu 0.2049 0.0000 0.0856 x4

=====

Entry 2:
Tm12Ga6Cu | PBE-GGA | optimized geometry

Calculated values
calculated formation energy = -3.82 kcal/mol of atoms
V = 543 Å³/f.u.
density of states at the Fermi level = 54.3 states/eV/cell
DFT total energy = -237.2 eV for the cell shown

abc: 12.7083 12.7083 11.6491
angles: 90.00 90.00 120.00
Space group R-3 (No. 148, hexagonal axes)
Symmetry-distinct sites (fractional):
1 Tm 0.0350 0.8230 0.3927 x18
2 Tm 0.0433 0.8380 0.8874 x18
3 Ga 0.0479 0.7837 0.6484 x18
4 Cu 0.0000 0.0000 0.0000 x3

=====

Entry 3:
TmGaCu | PBE-GGA | optimized geometry

Calculated values
calculated formation energy = -8.06 kcal/mol of atoms
V = 61 Å³/f.u.
density of states at the Fermi level = 14.8 states/eV/cell
DFT total energy = -50.6 eV for the cell shown

abc: 6.2386 6.2386 6.2386
angles: 90.00 90.00 90.00
Space group F-43m (No. 216)
Symmetry-distinct sites (fractional):
1 Tm 0.0000 0.0000 0.0000 x4
2 Ga 0.0000 0.0000 0.5000 x4
3 Cu 0.2500 0.2500 0.7500 x4

=====

Entry 4:
Tm5GaCu2 | PBE-GGA | optimized geometry

Calculated values
calculated formation energy = -6.57 kcal/mol of atoms
V = 186 Å³/f.u.
density of states at the Fermi level = 40.4 states/eV/cell
DFT total energy = -143.4 eV for the cell shown

abc: 7.6060 7.6060 12.8895
angles: 90.00 90.00 90.00
Space group I4/mcm (No. 140)
Symmetry-distinct sites (fractional):
1 Tm 0.0000 0.0000 0.0000 x4
2 Tm 0.1597 0.3403 0.1457 x16
3 Ga 0.0000 0.0000 0.2500 x4
4 Cu 0.1263 0.3737 0.5000 x8